[1]
Density functional theory data (meta-GGA SCAN) for a PBEsol-optimized structure of TmAl2.

a b c (Å): 7.7259 7.7259 7.7259
angles (deg): 90.00 90.00 90.00
Space group Fd-3m (No. 227, origin choice 2)
Asymmetric unit:
Tm 0.1250 0.1250 0.1250 (multiplicity 8)
Al 0.0000 0.0000 0.5000 (multiplicity 16)

Computed properties:
**E_form**: -0.53 eV per atom
**Total magnetization**: 0.0 μB per formula unit
**Energy**: -22.975 eV/atom

---

[2]
Density functional theory data (meta-GGA SCAN) for a PBEsol-optimized structure of TmAl.

a b c (Å): 5.7233 11.1736 5.4807
angles (deg): 90.00 90.00 90.00
Space group Pbcm (No. 57)
Asymmetric unit:
Tm 0.1002 0.1690 0.2500 (multiplicity 4)
Tm 0.3404 0.0164 0.7500 (multiplicity 4)
Al 0.1575 0.5962 0.7500 (multiplicity 4)
Al 0.4314 0.7500 0.0000 (multiplicity 4)

Computed properties:
**E_form**: -0.44 eV per atom
**Total magnetization**: 0.0 μB per formula unit
**Energy**: -30.229 eV/atom

---

[3]
Density functional theory data (meta-GGA SCAN) for a PBEsol-optimized structure of Tm3Al.

a b c (Å): 6.6153 6.6153 5.1686
angles (deg): 90.00 90.00 120.00
Space group P6_3/mmc (No. 194)
Asymmetric unit:
Tm 0.1736 0.3473 0.2500 (multiplicity 6)
Al 0.3333 0.6667 0.7500 (multiplicity 2)

Computed properties:
**E_form**: -0.23 eV per atom
**Total magnetization**: 0.0 μB per formula unit
**Energy**: -41.045 eV/atom

---

[4]
Density functional theory data (meta-GGA SCAN) for a PBEsol-optimized structure of Tm6Al43W4.

a b c (Å): 10.8922 10.8922 17.5357
angles (deg): 90.00 90.00 120.00
Space group P6_3/mcm (No. 193)
Asymmetric unit:
Tm 0.0000 0.4672 0.0955 (multiplicity 12)
Al 0.0000 0.1485 0.7500 (multiplicity 6)
Al 0.0000 0.1603 0.1144 (multiplicity 12)
Al 0.0000 0.2551 0.5300 (multiplicity 12)
Al 0.1480 0.5521 0.2500 (multiplicity 12)
Al 0.1572 0.3946 0.6631 (multiplicity 24)
Al 0.2469 0.4939 0.0000 (multiplicity 12)
Al 0.3333 0.6667 0.1249 (multiplicity 8)
W 0.0000 0.0000 0.0000 (multiplicity 2)
W 0.0000 0.2719 0.2500 (multiplicity 6)

Computed properties:
**E_form**: -0.28 eV per atom
**Total magnetization**: 0.0 μB per formula unit
**Energy**: -17.699 eV/atom

---

[5]
Density functional theory data (meta-GGA SCAN) for a PBEsol-optimized structure of TmAlZn.

a b c (Å): 4.3994 4.3994 6.8794
angles (deg): 90.00 90.00 120.00
Space group P6_3/mmc (No. 194)
Asymmetric unit:
Tm 0.0000 0.0000 0.0000 (multiplicity 2)
Al 0.3333 0.6667 0.2500 (multiplicity 2)
Zn 0.3333 0.6667 0.7500 (multiplicity 2)

Computed properties:
**E_form**: -0.50 eV per atom
**Total magnetization**: 0.1 μB per formula unit
**Energy**: -24.865 eV/atom

---

[6]
Density functional theory data (meta-GGA SCAN) for a PBEsol-optimized structure of UAl3.

a b c (Å): 6.0880 6.0880 4.5927
angles (deg): 90.00 90.00 120.00
Space group P6_3/mmc (No. 194)
Asymmetric unit:
U 0.3333 0.6667 0.2500 (multiplicity 2)
Al 0.1535 0.3070 0.7500 (multiplicity 6)

Computed properties:
**E_form**: -0.03 eV per atom
**Total magnetization**: 2.6 μB per formula unit
**Energy**: -31.725 eV/atom

---

[7]
Density functional theory data (meta-GGA SCAN) for a PBEsol-optimized structure of UAl2.

a b c (Å): 5.5258 5.5258 8.3671
angles (deg): 90.00 90.00 120.00
Space group P6_3/mmc (No. 194)
Asymmetric unit:
U 0.3333 0.6667 0.0976 (multiplicity 4)
Al 0.0000 0.0000 0.0000 (multiplicity 2)
Al 0.1745 0.3491 0.7500 (multiplicity 6)

Computed properties:
**E_form**: -0.15 eV per atom
**Total magnetization**: 2.4 μB per formula unit
**Energy**: -39.828 eV/atom

---

[8]
Density functional theory data (meta-GGA SCAN) for a PBEsol-optimized structure of UAl4.

a b c (Å): 4.3460 6.1027 13.6625
angles (deg): 90.00 90.00 90.00
Space group Imma (No. 74)
Asymmetric unit:
U 0.0000 0.2500 0.1110 (multiplicity 4)
Al 0.0000 0.0000 0.5000 (multiplicity 4)
Al 0.0000 0.0207 0.6988 (multiplicity 8)
Al 0.0000 0.2500 0.8892 (multiplicity 4)

Computed properties:
**E_form**: -0.04 eV per atom
**Total magnetization**: 2.7 μB per formula unit
**Energy**: -26.945 eV/atom